[1]
Here is an optimized crystal structure of Sr2AgPtO6 from the Alexandria database. Energies are from PBE-GGA.

Values from the calculation:
total moment	4.263	μB per cell
formation energy (no corrections)	-1.310	eV per atom

Lattice parameters (Å, degrees): 5.8131 6.1338 9.7712 90.00 126.14 90.00
With the nearest neighbours (Å) after each atom.
Atoms (fractional coordinates):
Sr (0.2362, 0.0644, 0.2506)  7 O 2.48-2.77
Sr (0.2362, 0.4356, 0.7506)  7 O 2.48-2.77
Sr (0.7638, 0.5644, 0.2494)  7 O 2.48-2.77
Sr (0.7638, 0.9356, 0.7494)  7 O 2.48-2.77
Ag (0.0000, 0.0000, 0.5000)  6 O 2.14-2.40
Ag (0.0000, 0.5000, 0.0000)  6 O 2.14-2.40
Pt (0.5000, 0.0000, 0.0000)  6 O 1.99-2.00
Pt (0.5000, 0.5000, 0.5000)  6 O 1.99-2.00
O (0.1737, 0.1751, 0.9551)  1 Pt 1.99
O (0.1737, 0.3249, 0.4551)  1 Pt 1.99
O (0.2750, 0.7253, 0.9452)  1 Pt 2.00
O (0.2750, 0.7747, 0.4452)  1 Pt 2.00
O (0.3607, 0.0398, 0.7589)  1 Pt 2.00, 1 Ag 2.14
O (0.3607, 0.4602, 0.2589)  1 Pt 2.00, 1 Ag 2.14
O (0.6393, 0.5398, 0.7411)  1 Pt 2.00, 1 Ag 2.14
O (0.6393, 0.9602, 0.2411)  1 Pt 2.00, 1 Ag 2.14
O (0.7250, 0.2253, 0.5548)  1 Pt 2.00
O (0.7250, 0.2747, 0.0548)  1 Pt 2.00
O (0.8263, 0.6751, 0.5449)  1 Pt 1.99
O (0.8263, 0.8249, 0.0449)  1 Pt 1.99

=====

[2]
Here is an optimized crystal structure of Ta2AgPtO8 from the Alexandria database. Energies are from PBE-GGA.

Values from the calculation:
total moment	0.000	μB per cell
formation energy (no corrections)	-1.670	eV per atom

Lattice parameters (Å, degrees): 4.7465 6.4789 4.7517 90.00 90.29 90.00
With the nearest neighbours (Å) after each atom.
Atoms (fractional coordinates):
Ta (0.0000, 0.2481, 0.0000)  6 O 1.94-2.10
Ta (0.0000, 0.7519, 0.0000)  6 O 1.94-2.10
Ag (0.5000, 0.0000, 0.5000)  6 O 2.15-2.32
Pt (0.5000, 0.5000, 0.5000)  6 O 2.00-2.04
O (0.1818, 0.0000, 0.8191)  2 Ta 2.02, 1 Ag 2.15
O (0.1976, 0.5000, 0.8042)  1 Pt 2.04, 2 Ta 2.10
O (0.2872, 0.2823, 0.2887)  1 Ta 1.94, 1 Pt 2.00
O (0.2872, 0.7177, 0.2887)  1 Ta 1.94, 1 Pt 2.00
O (0.7128, 0.2823, 0.7113)  1 Ta 1.94, 1 Pt 2.00
O (0.7128, 0.7177, 0.7113)  1 Ta 1.94, 1 Pt 2.00
O (0.8024, 0.5000, 0.1958)  1 Pt 2.04, 2 Ta 2.10
O (0.8182, 0.0000, 0.1809)  2 Ta 2.02, 1 Ag 2.15

=====

[3]
Here is an optimized crystal structure of TaAgPtO6 from the Alexandria database. Energies are from PBE-GGA.

Values from the calculation:
total moment	0.000	μB per cell
formation energy (no corrections)	-1.162	eV per atom

Lattice parameters (Å, degrees): 5.2694 5.2694 9.5511 90.00 90.00 120.00
With the nearest neighbours (Å) after each atom.
Atoms (fractional coordinates):
Ta (0.3333, 0.6667, 0.2500)  6 O 2.01
Ta (0.6667, 0.3333, 0.7500)  6 O 2.01
Ag (0.0000, 0.0000, 0.0000)  6 O 2.31
Ag (0.0000, 0.0000, 0.5000)  6 O 2.31
Pt (0.3333, 0.6667, 0.7500)  6 O 2.01
Pt (0.6667, 0.3333, 0.2500)  6 O 2.01
O (0.0001, 0.3640, 0.1354)  1 Ta 2.01, 1 Pt 2.01
O (0.9999, 0.3639, 0.6354)  1 Ta 2.01, 1 Pt 2.01
O (0.0001, 0.6361, 0.3646)  1 Ta 2.01, 1 Pt 2.01
O (0.9999, 0.6360, 0.8646)  1 Ta 2.01, 1 Pt 2.01
O (0.3639, 0.9999, 0.1354)  1 Ta 2.01, 1 Pt 2.01
O (0.3640, 0.0001, 0.6354)  1 Ta 2.01, 1 Pt 2.01
O (0.3639, 0.3640, 0.3646)  1 Ta 2.01, 1 Pt 2.01
O (0.3640, 0.3639, 0.8646)  1 Ta 2.01, 1 Pt 2.01
O (0.6360, 0.9999, 0.3646)  1 Ta 2.01, 1 Pt 2.01
O (0.6361, 0.0001, 0.8646)  1 Ta 2.01, 1 Pt 2.01
O (0.6360, 0.6361, 0.1354)  1 Ta 2.01, 1 Pt 2.01
O (0.6361, 0.6360, 0.6354)  1 Ta 2.01, 1 Pt 2.01

=====

[4]
Here is an optimized crystal structure of Tb2AgPtO5 from the Alexandria database. Energies are from PBE-GGA.

Values from the calculation:
total moment	1.975	μB per cell
formation energy (no corrections)	-1.970	eV per atom

Lattice parameters (Å, degrees): 6.6008 6.6008 5.7851 90.00 90.00 90.00
With the nearest neighbours (Å) after each atom.
Atoms (fractional coordinates):
Tb (0.1757, 0.3243, 0.0000)  8 O 2.23-2.49
Tb (0.3243, 0.8243, 0.0000)  8 O 2.23-2.49
Tb (0.6757, 0.1757, 0.0000)  8 O 2.23-2.49
Tb (0.8243, 0.6757, 0.0000)  8 O 2.23-2.49
Ag (0.0000, 0.0000, 0.5000)  10 O 2.89-2.98
Ag (0.5000, 0.5000, 0.5000)  10 O 2.89-2.98
Pt (0.0000, 0.5000, 0.5000)  4 O 1.98
Pt (0.5000, 0.0000, 0.5000)  4 O 1.98
O (0.0000, 0.0000, 0.0000)  4 Tb 2.43
O (0.1359, 0.6359, 0.2378)  1 Pt 1.98
O (0.1359, 0.6359, 0.7622)  1 Pt 1.98
O (0.3641, 0.1359, 0.2378)  1 Pt 1.98
O (0.3641, 0.1359, 0.7622)  1 Pt 1.98
O (0.5000, 0.5000, 0.0000)  4 Tb 2.43
O (0.6359, 0.8641, 0.2378)  1 Pt 1.98
O (0.6359, 0.8641, 0.7622)  1 Pt 1.98
O (0.8641, 0.3641, 0.2378)  1 Pt 1.98
O (0.8641, 0.3641, 0.7622)  1 Pt 1.98

=====

[5]
Here is an optimized crystal structure of Tb3Ag3PtO8 from the Alexandria database. Energies are from PBE-GGA.

Values from the calculation:
total moment	0.000	μB per cell
formation energy (no corrections)	-1.762	eV per atom

Lattice parameters (Å, degrees): 6.8261 6.8261 6.9532 119.51 119.51 60.02
With the nearest neighbours (Å) after each atom.
Atoms (fractional coordinates):
Tb (0.0000, 0.0000, 0.0000)  6 O 2.23-2.35
Tb (0.0000, 0.5000, 0.0000)  6 O 2.23-2.35
Tb (0.5000, 0.0000, 0.0000)  6 O 2.23-2.35
Ag (0.0000, 0.5000, 0.5000)  6 O 2.57-2.68
Ag (0.5000, 0.0000, 0.5000)  6 O 2.57-2.68
Ag (0.5000, 0.5000, 0.5000)  6 O 2.58-2.67
Pt (0.5000, 0.5000, 0.0000)  6 O 2.09
O (0.2281, 0.2281, 0.1837)  3 Tb 2.23
O (0.2631, 0.7149, 0.1920)  1 Pt 2.09
O (0.2851, 0.2851, 0.8081)  1 Pt 2.09
O (0.2851, 0.7369, 0.8080)  1 Pt 2.09
O (0.7149, 0.2631, 0.1920)  1 Pt 2.09
O (0.7149, 0.7149, 0.1919)  1 Pt 2.09
O (0.7369, 0.2851, 0.8080)  1 Pt 2.09
O (0.7719, 0.7719, 0.8163)  3 Tb 2.23

=====

[6]
Here is an optimized crystal structure of Tc2AgPtO8 from the Alexandria database. Energies are from PBE-GGA.

Values from the calculation:
total moment	0.000	μB per cell
formation energy (no corrections)	-0.859	eV per atom

Lattice parameters (Å, degrees): 5.3243 5.3243 7.3813 90.00 90.00 120.00
With the nearest neighbours (Å) after each atom.
Atoms (fractional coordinates):
Tc (0.3333, 0.6667, 0.2571)  4 O 1.74-1.80
Tc (0.6667, 0.3333, 0.7429)  4 O 1.74-1.80
Ag (0.0000, 0.0000, 0.5000)  12 O 2.94-3.07
Pt (0.0000, 0.0000, 0.0000)  6 O 2.11
O (0.0368, 0.3325, 0.1726)  1 Tc 1.80
O (0.2957, 0.9632, 0.1726)  1 Tc 1.80
O (0.3325, 0.2957, 0.8274)  1 Tc 1.80
O (0.3333, 0.6667, 0.4927)  1 Tc 1.74
O (0.6667, 0.3333, 0.5073)  1 Tc 1.74
O (0.6675, 0.7043, 0.1726)  1 Tc 1.80
O (0.7043, 0.0368, 0.8274)  1 Tc 1.80
O (0.9632, 0.6675, 0.8274)  1 Tc 1.80

=====

[7]
Here is an optimized crystal structure of TcAg2PtO from the Alexandria database. Energies are from PBE-GGA.

Values from the calculation:
total moment	3.361	μB per cell
formation energy (no corrections)	1.753	eV per atom

Lattice parameters (Å, degrees): 5.2353 5.2353 4.6550 90.00 90.00 90.00
With the nearest neighbours (Å) after each atom.
Atoms (fractional coordinates):
Tc (0.0000, 0.0000, 0.0000)  2 Pt 2.33
Ag (0.0000, 0.5000, 0.0000)  2 Tc 2.62
Ag (0.5000, 0.0000, 0.0000)  2 Tc 2.62
Pt (0.0000, 0.0000, 0.5000)  2 Tc 2.33
O (0.5000, 0.5000, 0.5000)  8 Ag 3.50, 4 Pt 3.70

=====

[8]
Here is an optimized crystal structure of Ag2TePtO6 from the Alexandria database. Energies are from PBE-GGA.

Values from the calculation:
total moment	0.000	μB per cell
formation energy (no corrections)	-0.416	eV per atom

Lattice parameters (Å, degrees): 6.0071 6.0071 4.8114 106.21 106.21 53.15
With the nearest neighbours (Å) after each atom.
Atoms (fractional coordinates):
Ag (0.2243, 0.2243, 0.2404)  1 O 2.18
Ag (0.7757, 0.7757, 0.7596)  1 O 2.18
Te (0.5000, 0.5000, 0.0000)  6 O 1.90-2.02
Pt (0.0000, 0.0000, 0.5000)  4 O 1.97
O (0.1592, 0.6739, 0.1918)  1 Pt 1.97, 1 Te 2.02
O (0.3261, 0.8408, 0.8082)  1 Pt 1.97, 1 Te 2.02
O (0.3331, 0.3331, 0.7069)  1 Te 1.90
O (0.6669, 0.6669, 0.2931)  1 Te 1.90
O (0.6739, 0.1592, 0.1918)  1 Pt 1.97, 1 Te 2.02
O (0.8408, 0.3261, 0.8082)  1 Pt 1.97, 1 Te 2.02

=====

[9]
Here is an optimized crystal structure of AgTePtO6 from the Alexandria database. Energies are from PBE-GGA.

Values from the calculation:
total moment	0.000	μB per cell
formation energy (no corrections)	-0.598	eV per atom

Lattice parameters (Å, degrees): 5.2824 5.2824 9.8838 90.00 90.00 120.00
With the nearest neighbours (Å) after each atom.
Atoms (fractional coordinates):
Ag (0.0000, 0.0000, 0.0000)  6 O 2.38
Ag (0.0000, 0.0000, 0.5000)  6 O 2.38
Te (0.3333, 0.6667, 0.2500)  6 O 1.99
Te (0.6667, 0.3333, 0.7500)  6 O 1.99
Pt (0.3333, 0.6667, 0.7500)  6 O 2.02
Pt (0.6667, 0.3333, 0.2500)  6 O 2.02
O (0.0045, 0.3712, 0.1389)  1 Te 1.99, 1 Pt 2.02
O (0.0045, 0.6333, 0.3611)  1 Te 1.99, 1 Pt 2.02
O (0.3667, 0.3712, 0.3611)  1 Te 1.99, 1 Pt 2.02
O (0.3667, 0.9955, 0.1389)  1 Te 1.99, 1 Pt 2.02
O (0.3712, 0.0045, 0.6389)  1 Te 1.99, 1 Pt 2.02
O (0.3712, 0.3667, 0.8611)  1 Te 1.99, 1 Pt 2.02
O (0.6288, 0.6333, 0.1389)  1 Te 1.99, 1 Pt 2.02
O (0.6288, 0.9955, 0.3611)  1 Te 1.99, 1 Pt 2.02
O (0.6333, 0.0045, 0.8611)  1 Te 1.99, 1 Pt 2.02
O (0.6333, 0.6288, 0.6389)  1 Te 1.99, 1 Pt 2.02
O (0.9955, 0.3667, 0.6389)  1 Te 1.99, 1 Pt 2.02
O (0.9955, 0.6288, 0.8611)  1 Te 1.99, 1 Pt 2.02

=====

[10]
Here is an optimized crystal structure of TiAgPtO6 from the Alexandria database. Energies are from PBE-GGA.

Values from the calculation:
total moment	0.000	μB per cell
formation energy (no corrections)	-1.042	eV per atom

Lattice parameters (Å, degrees): 5.1837 5.1837 9.2577 90.00 90.00 120.00
With the nearest neighbours (Å) after each atom.
Atoms (fractional coordinates):
Ti (0.3333, 0.6667, 0.2500)  6 O 1.97
Ti (0.6667, 0.3333, 0.7500)  6 O 1.97
Ag (0.0000, 0.0000, 0.0000)  6 O 2.25
Ag (0.0000, 0.0000, 0.5000)  6 O 2.25
Pt (0.3333, 0.6667, 0.7500)  6 O 1.98
Pt (0.6667, 0.3333, 0.2500)  6 O 1.98
O (0.0018, 0.3628, 0.1341)  1 Ti 1.97, 1 Pt 1.98
O (0.0018, 0.6390, 0.3659)  1 Ti 1.97, 1 Pt 1.98
O (0.3610, 0.3628, 0.3659)  1 Ti 1.97, 1 Pt 1.98
O (0.3610, 0.9982, 0.1341)  1 Ti 1.97, 1 Pt 1.98
O (0.3628, 0.0018, 0.6341)  1 Ti 1.97, 1 Pt 1.98
O (0.3628, 0.3610, 0.8659)  1 Ti 1.97, 1 Pt 1.98
O (0.6372, 0.6390, 0.1341)  1 Ti 1.97, 1 Pt 1.98
O (0.6372, 0.9982, 0.3659)  1 Ti 1.97, 1 Pt 1.98
O (0.6390, 0.0018, 0.8659)  1 Ti 1.97, 1 Pt 1.98
O (0.6390, 0.6372, 0.6341)  1 Ti 1.97, 1 Pt 1.98
O (0.9982, 0.3610, 0.6341)  1 Ti 1.97, 1 Pt 1.98
O (0.9982, 0.6372, 0.8659)  1 Ti 1.97, 1 Pt 1.98

=====

[11]
Here is an optimized crystal structure of TlAgPtO4 from the Alexandria database. Energies are from PBE-GGA.

Values from the calculation:
total moment	0.000	μB per cell
formation energy (no corrections)	-0.481	eV per atom

Lattice parameters (Å, degrees): 6.7105 6.7105 6.7105 123.40 119.44 87.59
With the nearest neighbours (Å) after each atom.
Atoms (fractional coordinates):
Tl (0.0000, 0.0000, 0.0000)  6 O 2.30-2.40
Tl (0.5000, 0.0000, 0.5000)  6 O 2.30-2.40
Ag (0.3779, 0.6279, 0.7500)  4 O 2.33-2.41
Ag (0.6221, 0.3721, 0.2500)  4 O 2.33-2.41
Pt (0.0000, 0.0000, 0.5000)  6 O 2.04-2.06
Pt (0.0000, 0.5000, 0.0000)  6 O 2.04-2.06
O (0.1896, 0.2451, 0.9444)  2 Pt 2.06
O (0.1993, 0.7549, 0.4444)  2 Pt 2.06
O (0.2103, 0.1976, 0.4873)  1 Pt 2.04
O (0.2103, 0.7230, 0.0127)  1 Pt 2.04
O (0.7897, 0.2770, 0.9873)  1 Pt 2.04
O (0.7897, 0.8024, 0.5127)  1 Pt 2.04
O (0.8007, 0.2451, 0.5556)  2 Pt 2.06
O (0.8104, 0.7549, 0.0556)  2 Pt 2.06

=====

[12]
Here is an optimized crystal structure of UAgPtO6 from the Alexandria database. Energies are from PBE-GGA.

Values from the calculation:
total moment	0.000	μB per cell
formation energy (no corrections)	-1.488	eV per atom

Lattice parameters (Å, degrees): 5.4073 5.4073 9.9093 90.00 90.00 120.00
With the nearest neighbours (Å) after each atom.
Atoms (fractional coordinates):
U (0.3333, 0.6667, 0.2500)  6 O 2.10
U (0.6667, 0.3333, 0.7500)  6 O 2.10
Ag (0.0000, 0.0000, 0.0000)  6 O 2.36
Ag (0.0000, 0.0000, 0.5000)  6 O 2.36
Pt (0.3333, 0.6667, 0.7500)  6 O 2.03
Pt (0.6667, 0.3333, 0.2500)  6 O 2.03
O (0.0093, 0.3605, 0.6385)  1 Pt 2.03, 1 U 2.10
O (0.0093, 0.6488, 0.8615)  1 Pt 2.03, 1 U 2.10
O (0.3512, 0.3605, 0.8615)  1 Pt 2.03, 1 U 2.10
O (0.3512, 0.9907, 0.6385)  1 Pt 2.03, 1 U 2.10
O (0.3605, 0.0093, 0.1385)  1 Pt 2.03, 1 U 2.10
O (0.3605, 0.3512, 0.3615)  1 Pt 2.03, 1 U 2.10
O (0.6395, 0.6488, 0.6385)  1 Pt 2.03, 1 U 2.10
O (0.6395, 0.9907, 0.8615)  1 Pt 2.03, 1 U 2.10
O (0.6488, 0.0093, 0.3615)  1 Pt 2.03, 1 U 2.10
O (0.6488, 0.6395, 0.1385)  1 Pt 2.03, 1 U 2.10
O (0.9907, 0.3512, 0.1385)  1 Pt 2.03, 1 U 2.10
O (0.9907, 0.6395, 0.3615)  1 Pt 2.03, 1 U 2.10

=====

[13]
Here is an optimized crystal structure of UAg2PtO6 from the Alexandria database. Energies are from PBE-GGA.

Values from the calculation:
total moment	1.436	μB per cell
formation energy (no corrections)	-1.288	eV per atom

Lattice parameters (Å, degrees): 6.3803 6.3803 5.1270 112.75 112.75 53.45
With the nearest neighbours (Å) after each atom.
Atoms (fractional coordinates):
U (0.0000, 0.0000, 0.0000)  2 O 1.88
Ag (0.2556, 0.2556, 0.8166)  5 O 2.26-2.51
Ag (0.7444, 0.7444, 0.1834)  5 O 2.26-2.51
Pt (0.5000, 0.5000, 0.5000)  4 O 1.95
O (0.1621, 0.1621, 0.3279)  1 U 1.88
O (0.1885, 0.6511, 0.1938)  1 Pt 1.95
O (0.3489, 0.8115, 0.8062)  1 Pt 1.95
O (0.6511, 0.1885, 0.1938)  1 Pt 1.95
O (0.8115, 0.3489, 0.8062)  1 Pt 1.95
O (0.8379, 0.8379, 0.6721)  1 U 1.88